Here is an optimized crystal structure of Ac2NiAsPd6 from the Alexandria database. Energies are from PBE.

abc: 5.5346 8.5071 6.8307
angles: 50.00 66.10 90.00
With the nearest neighbours (Å) after each atom.
Sites, in units of the cell vectors:
Pd 0.7578 0.2589 0.9972  1 As 2.50, 1 Ni 2.57, 2 Pd 2.70-2.73
Pd 0.2452 0.2589 0.9971  1 As 2.50, 1 Ni 2.57, 2 Pd 2.70-2.73
Pd 0.2422 0.7411 0.0028  1 As 2.50, 1 Ni 2.57, 2 Pd 2.70-2.73
Pd 0.2463 0.1031 0.5073  1 As 2.53, 1 Ni 2.54, 4 Pd 2.73-2.83
Pd 0.7548 0.7411 0.0029  1 As 2.50, 1 Ni 2.57, 2 Pd 2.70-2.73
Pd 0.7537 0.8969 0.4927  1 As 2.53, 1 Ni 2.54, 4 Pd 2.73-2.83
As 0.5000 0.5000 0.0000  6 Pd 2.50-2.53
Ac 0.2651 0.7337 0.4699  9 Pd 3.14-3.48, 2 Ni 3.47
Ac 0.7349 0.2663 0.5301  9 Pd 3.14-3.48, 2 Ni 3.47
Ni 0.0000 0.0000 0.0000  6 Pd 2.54-2.57

Properties
crystal system = monoclinic
DOS(E_F) = 0.439 states/eV per atom
calculated volume = 20.91 A^3/atom
E_tot = -5.614 eV per atom

Here is an optimized crystal structure of AcPmNi2As2 from the Alexandria database. Energies are from PBE.

abc: 4.1728 4.1728 8.3228
angles: 90.00 90.00 120.00
With the nearest neighbours (Å) after each atom.
Sites, in units of the cell vectors:
As 0.3333 0.6667 0.2680  3 Ni 2.41
As 0.6667 0.3333 0.7320  3 Ni 2.41
Pm 0.0000 0.0000 0.5000  6 As 3.09, 6 Ni 3.13
Ni 0.6667 0.3333 0.2602  3 As 2.41
Ni 0.3333 0.6667 0.7398  3 As 2.41
Ac 0.0000 0.0000 0.0000  6 Ni 3.24, 6 As 3.28

Properties
crystal system = trigonal
DOS(E_F) = 0.415 states/eV per atom
calculated volume = 20.92 A^3/atom
E_tot = -5.968 eV per atom

Here is an optimized crystal structure of AcPmNiAs from the Alexandria database. Energies are from PBE.

abc: 5.2235 5.2235 5.2235
angles: 60.00 60.00 60.00
With the nearest neighbours (Å) after each atom.
Sites, in units of the cell vectors:
Ni 0.2500 0.2500 0.2500  4 Ac 3.20, 4 Pm 3.20
Ac 0.0000 0.0000 0.0000  4 As 3.20, 4 Ni 3.20
Pm 0.5000 0.5000 0.5000  4 As 3.20, 4 Ni 3.20
As 0.7500 0.7500 0.7500  4 Pm 3.20, 4 Ac 3.20

Properties
crystal system = cubic
DOS(E_F) = 1.223 states/eV per atom
calculated volume = 25.19 A^3/atom
E_tot = -5.348 eV per atom

Here is an optimized crystal structure of AcPrNiAs from the Alexandria database. Energies are from PBE.

abc: 5.2577 5.2577 5.2577
angles: 60.00 60.00 60.00
With the nearest neighbours (Å) after each atom.
Sites, in units of the cell vectors:
As 0.2500 0.2500 0.2500  4 Pr 3.22, 4 Ac 3.22
Ac 0.5000 0.5000 0.5000  4 As 3.22, 4 Ni 3.22
Ni 0.7500 0.7500 0.7500  4 Ac 3.22, 4 Pr 3.22
Pr 0.0000 0.0000 0.0000  4 Ni 3.22, 4 As 3.22

Properties
crystal system = cubic
DOS(E_F) = 1.195 states/eV per atom
calculated volume = 25.69 A^3/atom
E_tot = -5.354 eV per atom

Here is an optimized crystal structure of AcPrNi2As2 from the Alexandria database. Energies are from PBE.

abc: 4.1890 4.1890 8.4122
angles: 90.00 90.00 120.00
With the nearest neighbours (Å) after each atom.
Sites, in units of the cell vectors:
Ni 0.3333 0.6667 0.7437  3 As 2.42
Ni 0.6667 0.3333 0.2563  3 As 2.42
As 0.6667 0.3333 0.7361  3 Ni 2.42
As 0.3333 0.6667 0.2639  3 Ni 2.42
Pr 0.0000 0.0000 0.5000  6 As 3.13, 6 Ni 3.17
Ac 0.0000 0.0000 0.0000  6 Ni 3.24, 6 As 3.28

Properties
crystal system = trigonal
DOS(E_F) = 0.417 states/eV per atom
calculated volume = 21.31 A^3/atom
E_tot = -5.963 eV per atom

Here is an optimized crystal structure of Ac2Ni3As4Pt from the Alexandria database. Energies are from PBE.

abc: 4.4001 4.4001 9.7680
angles: 90.00 90.00 90.00
With the nearest neighbours (Å) after each atom.
Sites, in units of the cell vectors:
Ni 0.0000 0.5000 0.1108  5 As 2.45-2.47
Ni 0.0000 0.0000 0.5000  4 As 2.57
Ni 0.5000 0.0000 0.8892  5 As 2.45-2.47
As 0.0000 0.0000 0.0000  4 Ni 2.45
As 0.5000 0.5000 0.0000  4 Ni 2.45
As 0.5000 0.0000 0.6359  3 Ni 2.47-2.57, 2 Pt 2.57
As 0.0000 0.5000 0.3641  3 Ni 2.47-2.57, 2 Pt 2.57
Ac 0.0000 0.5000 0.7517  8 As 3.27-3.31, 2 Pt 3.30, 7 Ni 3.30-3.51
Ac 0.5000 0.0000 0.2483  8 As 3.27-3.31, 2 Pt 3.30, 7 Ni 3.30-3.51
Pt 0.5000 0.5000 0.5000  4 As 2.57

Properties
crystal system = tetragonal
DOS(E_F) = 0.398 states/eV per atom
calculated volume = 18.91 A^3/atom
E_tot = -5.853 eV per atom